# TiInGaMo2, optimized geometry, DFT GGA-PBE
data_TiInGaMo2
_chemical_formula_sum 'Ti1 In1 Ga1 Mo2'
_symmetry_space_group_name_H-M 'P 1'
_symmetry_Int_Tables_number 1
_symmetry_space_group_name_Hall 'P 1'
_cell_length_a 4.7001
_cell_length_b 4.7001
_cell_length_c 4.6774
_cell_angle_alpha 90.00
_cell_angle_beta 90.00
_cell_angle_gamma 90.00
loop_
_atom_site_label
_atom_site_fract_x
_atom_site_fract_y
_atom_site_fract_z
Ti1 0.0000 0.0000 0.0000
In1 0.5000 0.5000 0.0000
Ga1 0.5000 0.5000 0.5000
Mo1 0.0000 0.5000 0.5000
Mo2 0.5000 0.0000 0.5000
# Space group: P4/mmm, No. 123
# Energy relative to the elements, eV per atom: 1.2480